Compound: RbTmCd17
Source: Alexandria
Functional: PBE
Structure: relaxed

Unit cell a=7.786 b=7.786 c=7.786 alpha=82.26 beta=82.26 gamma=82.26
Fractional positions:
1 Rb 0.000 0.000 0.000
2 Tm 0.664 0.664 0.664
3 Cd 0.039 0.340 0.630
4 Cd 0.039 0.630 0.340
5 Cd 0.217 0.686 0.686
6 Cd 0.248 0.248 0.248
7 Cd 0.317 0.317 0.859
8 Cd 0.317 0.859 0.317
9 Cd 0.340 0.039 0.630
10 Cd 0.340 0.630 0.039
11 Cd 0.446 0.446 0.446
12 Cd 0.538 0.953 0.953
13 Cd 0.630 0.039 0.340
14 Cd 0.630 0.340 0.039
15 Cd 0.686 0.217 0.686
16 Cd 0.686 0.686 0.217
17 Cd 0.859 0.317 0.317
18 Cd 0.953 0.538 0.953
19 Cd 0.953 0.953 0.538

Raw total energy = -21.96 eV per cell

=====

Compound: RbVCd3
Source: Alexandria
Functional: PBE
Structure: relaxed

Unit cell a=6.476 b=6.476 c=6.476 alpha=90.00 beta=90.00 gamma=90.00
Fractional positions:
1 Rb 0.000 0.000 0.000
2 V 0.500 0.500 0.500
3 Cd 0.000 0.000 0.500
4 Cd 0.000 0.500 0.000
5 Cd 0.500 0.000 0.000

Raw total energy = -6.09 eV per cell
Excess energy over the best structure of this formula in the dataset = 970.7 meV/atom

=====

no.,DFT formation energy (eV/atom),mass density (g/cm³)
1,-0.05,7.815
2,1.35,2.896